Entry 1:
This record from Alexandria describes a geometry-optimized NaYGa2Ni structure. The functional is GGA-PBE.

a = 4.709 Å, b = 4.709 Å, c = 5.014 Å
α = 90.00°, β = 90.00°, γ = 90.00°
Element x y z (fractional)
Na 0.000 0.000 0.000
Y 0.500 0.500 0.000
Ga 0.000 0.500 0.500
Ga 0.500 0.000 0.500
Ni 0.500 0.500 0.500

- Total magnetization: 0.0 μB/cell
- Crystal system: tetragonal
- Space group: P4/mmm
- Energy relative to the elements: -0.158 eV/atom
- Electronic total energy: -4.0820 eV per atom

Entry 2:
This record from Alexandria describes a geometry-optimized NaZn2GaNi structure. The functional is GGA-PBE.

a = 4.675 Å, b = 4.675 Å, c = 4.532 Å
α = 90.00°, β = 90.00°, γ = 90.00°
Element x y z (fractional)
Na 0.000 0.000 0.000
Zn 0.000 0.500 0.500
Zn 0.500 0.000 0.500
Ga 0.500 0.500 0.000
Ni 0.500 0.500 0.500

- Total magnetization: 0.0 μB/cell
- Crystal system: tetragonal
- Space group: P4/mmm
- Energy relative to the elements: -0.077 eV/atom
- Electronic total energy: -2.6118 eV per atom

Entry 3:
This record from Alexandria describes a geometry-optimized NaNpGa4 structure. The functional is GGA-PBE.

a = 5.544 Å, b = 5.544 Å, c = 5.544 Å
α = 60.00°, β = 60.00°, γ = 60.00°
Element x y z (fractional)
Na 0.000 0.000 0.000
Np 0.250 0.250 0.250
Ga 0.126 0.625 0.625
Ga 0.625 0.126 0.625
Ga 0.625 0.625 0.126
Ga 0.625 0.625 0.625

- Total magnetization: 4.8 μB/cell
- Crystal system: cubic
- Space group: F-43m
- Energy relative to the elements: -0.026 eV/atom
- Electronic total energy: -4.4203 eV per atom

Entry 4:
This record from Alexandria describes a geometry-optimized NaNpGa2O6 structure. The functional is GGA-PBE.

a = 7.137 Å, b = 7.137 Å, c = 5.462 Å
α = 97.16°, β = 97.16°, γ = 88.41°
Element x y z (fractional)
Na 0.080 0.920 0.750
Na 0.920 0.080 0.250
Np 0.279 0.721 0.250
Np 0.721 0.279 0.750
Ga 0.211 0.389 0.703
Ga 0.389 0.211 0.203
Ga 0.611 0.789 0.797
Ga 0.789 0.611 0.297
O 0.004 0.239 0.645
O 0.170 0.616 0.902
O 0.239 0.004 0.145
O 0.288 0.424 0.392
O 0.384 0.830 0.598
O 0.424 0.288 0.892
O 0.576 0.712 0.108
O 0.616 0.170 0.402
O 0.712 0.576 0.608
O 0.761 0.996 0.855
O 0.830 0.384 0.098
O 0.996 0.761 0.355

- Total magnetization: 4.0 μB/cell
- Crystal system: monoclinic
- Space group: C2/c
- Formation energy from raw total energies: -2.201 eV/atom
- Electronic total energy: -7.2073 eV per atom

Entry 5:
This record from Alexandria describes a geometry-optimized NaNpGaO6 structure. The functional is GGA-PBE.

a = 5.311 Å, b = 5.311 Å, c = 10.405 Å
α = 90.00°, β = 90.00°, γ = 120.00°
Element x y z (fractional)
Na 0.000 0.000 0.000
Na 0.000 0.000 0.500
Np 0.333 0.667 0.250
Np 0.667 0.333 0.750
Ga 0.333 0.667 0.750
Ga 0.667 0.333 0.250
O 0.000 0.365 0.146
O 0.000 0.365 0.646
O 0.000 0.635 0.354
O 0.000 0.635 0.854
O 0.365 0.000 0.146
O 0.365 0.000 0.646
O 0.365 0.365 0.354
O 0.365 0.365 0.854
O 0.635 0.000 0.354
O 0.635 0.000 0.854
O 0.635 0.635 0.146
O 0.635 0.635 0.646

- Total magnetization: 2.0 μB/cell
- Crystal system: trigonal
- Space group: P-31c
- Formation energy from raw total energies: -1.883 eV/atom
- Electronic total energy: -7.1091 eV per atom

Entry 6:
This record from Alexandria describes a geometry-optimized Na2NpGaO4 structure. The functional is GGA-PBE.

a = 5.906 Å, b = 3.461 Å, c = 6.309 Å
α = 90.00°, β = 111.50°, γ = 90.00°
Element x y z (fractional)
Na 0.000 0.000 0.000
Na 0.000 0.500 0.500
Np 0.500 0.000 0.500
Ga 0.500 0.500 0.000
O 0.281 0.500 0.286
O 0.286 0.000 0.683
O 0.714 0.000 0.317
O 0.719 0.500 0.714

- Total magnetization: 2.0 μB/cell
- Crystal system: monoclinic
- Space group: P2/m
- Formation energy from raw total energies: -1.989 eV/atom
- Electronic total energy: -6.7936 eV per atom

Entry 7:
This record from Alexandria describes a geometry-optimized NaNpGa2O8 structure. The functional is GGA-PBE.

a = 5.932 Å, b = 5.932 Å, c = 5.932 Å
α = 109.99°, β = 109.99°, γ = 108.44°
Element x y z (fractional)
Na 0.000 0.000 0.000
Np 0.750 0.250 0.500
Ga 0.250 0.750 0.500
Ga 0.500 0.500 0.000
O 0.040 0.377 0.337
O 0.040 0.703 0.663
O 0.113 0.318 0.795
O 0.297 0.960 0.337
O 0.523 0.318 0.205
O 0.623 0.960 0.663
O 0.682 0.477 0.795
O 0.682 0.887 0.205

- Total magnetization: 2.0 μB/cell
- Crystal system: tetragonal
- Space group: I-4m2
- Formation energy from raw total energies: -1.542 eV/atom
- Electronic total energy: -6.5401 eV per atom

Entry 8:
This record from Alexandria describes a geometry-optimized NaNpGaO4 structure. The functional is GGA-PBE.

a = 6.564 Å, b = 6.564 Å, c = 6.564 Å
α = 124.30°, β = 115.78°, γ = 90.09°
Element x y z (fractional)
Na 0.389 0.139 0.250
Na 0.611 0.861 0.750
Np 0.000 0.500 0.500
Np 0.500 0.500 0.000
Ga 0.000 0.000 0.500
Ga 0.000 0.500 0.000
O 0.185 0.742 0.442
O 0.200 0.258 0.942
O 0.234 0.261 0.527
O 0.234 0.707 0.973
O 0.766 0.293 0.027
O 0.766 0.739 0.473
O 0.800 0.742 0.058
O 0.815 0.258 0.558

- Total magnetization: 6.0 μB/cell
- Crystal system: orthorhombic
- Space group: Imma
- Formation energy from raw total energies: -2.197 eV/atom
- Electronic total energy: -7.5000 eV per atom

Entry 9:
This record from Alexandria describes a geometry-optimized NaNp2GaO8 structure. The functional is GGA-PBE.

a = 4.788 Å, b = 4.788 Å, c = 6.885 Å
α = 90.00°, β = 90.00°, γ = 92.39°
Element x y z (fractional)
Na 0.000 0.000 0.000
Np 0.500 0.500 0.253
Np 0.500 0.500 0.747
Ga 0.000 0.000 0.500
O 0.204 0.204 0.281
O 0.204 0.204 0.719
O 0.303 0.697 0.500
O 0.324 0.676 0.000
O 0.676 0.324 0.000
O 0.697 0.303 0.500
O 0.796 0.796 0.281
O 0.796 0.796 0.719

- Total magnetization: 2.0 μB/cell
- Crystal system: orthorhombic
- Space group: Cmmm
- Formation energy from raw total energies: -2.395 eV/atom
- Electronic total energy: -8.2192 eV per atom

Entry 10:
This record from Alexandria describes a geometry-optimized Na4Np3GaS8 structure. The functional is GGA-PBE.

a = 8.026 Å, b = 8.026 Å, c = 8.026 Å
α = 60.64°, β = 60.64°, γ = 60.64°
Element x y z (fractional)
Na 0.000 0.000 0.000
Na 0.000 0.500 0.500
Na 0.500 0.000 0.500
Na 0.500 0.500 0.000
Np 0.000 0.000 0.500
Np 0.000 0.500 0.000
Np 0.500 0.000 0.000
Ga 0.500 0.500 0.500
S 0.229 0.746 0.746
S 0.242 0.242 0.242
S 0.254 0.254 0.771
S 0.254 0.771 0.254
S 0.746 0.229 0.746
S 0.746 0.746 0.229
S 0.758 0.758 0.758
S 0.771 0.254 0.254

- Total magnetization: 10.2 μB/cell
- Crystal system: trigonal
- Space group: R-3m
- Formation energy from raw total energies: -1.209 eV/atom
- Electronic total energy: -6.2184 eV per atom

Entry 11:
This record from Alexandria describes a geometry-optimized Na2NpGaS5 structure. The functional is GGA-PBE.

a = 8.729 Å, b = 8.729 Å, c = 13.205 Å
α = 90.00°, β = 90.00°, γ = 154.14°
Element x y z (fractional)
Na 0.089 0.911 0.500
Na 0.108 0.892 0.175
Na 0.892 0.108 0.675
Na 0.911 0.089 0.000
Np 0.222 0.778 0.869
Np 0.778 0.222 0.369
Ga 0.427 0.573 0.256
Ga 0.573 0.427 0.756
S 0.062 0.938 0.862
S 0.280 0.720 0.498
S 0.290 0.710 0.230
S 0.365 0.635 0.846
S 0.495 0.505 0.116
S 0.505 0.495 0.616
S 0.635 0.365 0.346
S 0.710 0.290 0.730
S 0.720 0.280 0.998
S 0.938 0.062 0.362

- Total magnetization: 4.0 μB/cell
- Crystal system: orthorhombic
- Space group: Cmc2_1
- Formation energy from raw total energies: -1.002 eV/atom
- Electronic total energy: -5.3623 eV per atom

Entry 12:
This record from Alexandria describes a geometry-optimized Na3Np3GaS8 structure. The functional is GGA-PBE.

a = 7.947 Å, b = 7.947 Å, c = 8.099 Å
α = 119.39°, β = 119.39°, γ = 59.99°
Element x y z (fractional)
Na 0.000 0.000 0.000
Na 0.000 0.500 0.000
Na 0.500 0.000 0.000
Np 0.000 0.500 0.500
Np 0.500 0.000 0.500
Np 0.500 0.500 0.500
Ga 0.000 0.000 0.500
S 0.227 0.756 0.712
S 0.228 0.228 0.710
S 0.244 0.773 0.288
S 0.257 0.257 0.273
S 0.743 0.743 0.727
S 0.756 0.227 0.712
S 0.772 0.772 0.290
S 0.773 0.244 0.288

- Total magnetization: 10.9 μB/cell
- Crystal system: monoclinic
- Space group: C2/m
- Formation energy from raw total energies: -1.290 eV/atom
- Electronic total energy: -6.5448 eV per atom

| no. | DOS at the Fermi energy (states/eV/cell) |
| --- | --- |
| 1 | 2.137 |
| 2 | 1.997 |
| 3 | 12.191 |
| 4 | 10.375 |
| 5 | 16.153 |
| 6 | 3.123 |
| 7 | 1.349 |
| 8 | 13.133 |
| 9 | 7.332 |
| 10 | 31.751 |
| 11 | 9.163 |
| 12 | 17.091 |